The following is a GGA-PBE calculation of a geometry-optimized ZrMnTcPb2 structure, from Alexandria.

```
5
Lattice="-4.829 0.604 1.288 -1.249 -0.463 -4.463 -0.451 -4.973 0.642" Properties=species:S:1:pos:R:3 pbc="T T T"
Pb -0.225 -2.486 0.321
Pb -2.414 0.302 0.644
Mn 0.000 0.000 0.000
Tc -3.264 -2.416 -1.266
Zr -0.624 -0.232 -2.232
```

## Properties
crystal system = tetragonal
magnetization = 3.45 μB per cell
energy = -6.1198 eV/atom

The following is a GGA-PBE calculation of a geometry-optimized ZrMnTc2Pb structure, from Alexandria.

```
5
Lattice="-0.271 4.313 -1.296 -4.306 -0.937 -2.219 -2.185 1.009 3.815" Properties=species:S:1:pos:R:3 pbc="T T T"
Pb -2.153 -0.469 -1.109
Mn 0.000 0.000 0.000
Tc -1.093 0.504 1.908
Tc -0.136 2.156 -0.648
Zr -3.381 2.192 0.150
```

## Properties
crystal system = tetragonal
magnetization = 0.00 μB per cell
energy = -7.5332 eV/atom